1.
ThSnS | GGA-PBE | relaxed

CIF file:
```
data_ThSnS
_space_group_name_H-M_alt 'I 4/m m m'
_space_group_IT_number 139
_space_group_name_Hall '-I 4 2'
_cell_length_a 4.117
_cell_length_b 4.117
_cell_length_c 17.611
_cell_angle_alpha 90.00
_cell_angle_beta 90.00
_cell_angle_gamma 90.00
loop_
_atom_site_label
_atom_site_type_symbol
_atom_site_fract_x
_atom_site_fract_y
_atom_site_fract_z
Th1 Th 0.000 0.000 0.151
Sn1 Sn 0.000 0.500 0.000
S1 S 0.000 0.000 0.314
```

Results
energy relative to the elements, uncorrected	-3.93	eV/f.u.



2.
Ta3CdSb | GGA-PBE | relaxed

CIF file:
```
data_Ta3CdSb
_space_group_name_H-M_alt 'P m -3 m'
_space_group_IT_number 221
_space_group_name_Hall '-P 4 2 3'
_cell_length_a 5.033
_cell_length_b 5.033
_cell_length_c 5.033
_cell_angle_alpha 90.00
_cell_angle_beta 90.00
_cell_angle_gamma 90.00
loop_
_atom_site_label
_atom_site_type_symbol
_atom_site_fract_x
_atom_site_fract_y
_atom_site_fract_z
Ta1 Ta 0.000 0.000 0.500
Cd1 Cd 0.500 0.500 0.500
Sb1 Sb 0.000 0.000 0.000
```

Results
energy above the most stable polymorph in this dataset	0.000	eV/atom
energy relative to the elements, uncorrected	8.73	eV/f.u.